No. 1
VASP calculation (SCAN) on a PBEsol-optimized structure of Ti2Si2Rh.

Its energy relative to the elements, uncorrected is -0.9644 eV per atom. The value obtained for the volume is 71 Å³/f.u.

The structure belongs to space group P4/mbm (No. 127); the cell edges are 6.087, 6.087 and 3.853 Å and the angles 90.00°, 90.00° and 90.00°. Symmetry generates all atoms from Ti at (0.164, 0.336, 0.000), Si at (0.138, 0.638, 0.500) and Rh at (0.000, 0.000, 0.500).

***

No. 2
VASP calculation (SCAN) on a PBEsol-optimized structure of TiSiRh.

Its energy relative to the elements, uncorrected is -1.0877 eV per atom. The value obtained for the volume is 42 Å³/f.u.

The structure belongs to space group Pnma (No. 62); the cell edges are 6.202, 3.793 and 7.187 Å and the angles 90.00°, 90.00° and 90.00°. Symmetry generates all atoms from Ti at (0.024, 0.250, 0.183), Si at (0.232, 0.750, 0.378) and Rh at (0.152, 0.250, 0.563).

***

No. 3
VASP calculation (SCAN) on a PBEsol-optimized structure of TlSiRh2.

Its energy relative to the elements, uncorrected is -0.4740 eV per atom. The value obtained for the volume is 62 Å³/f.u.

The structure belongs to space group P2/m (No. 10); the cell edges are 2.913, 2.898 and 7.405 Å and the angles 90.00°, 99.21° and 90.00°. Symmetry generates all atoms from Tl at (0.000, 0.000, 0.000), Si at (0.000, 0.000, 0.500) and Rh at (0.415, 0.500, 0.311).

***

No. 4
VASP calculation (SCAN) on a PBEsol-optimized structure of TlSiRh2.

Its energy relative to the elements, uncorrected is 0.0219 eV per atom. The value obtained for the volume is 63 Å³/f.u.

The structure belongs to space group P2/m (No. 10); the cell edges are 4.268, 3.078 and 5.236 Å and the angles 90.00°, 113.06° and 90.00°. Symmetry generates all atoms from Tl at (0.000, 0.000, 0.000), Si at (0.500, 0.500, 0.500), Rh at (0.000, 0.000, 0.500) and Rh at (0.500, 0.500, 0.000).

***

No. 5
VASP calculation (SCAN) on a PBEsol-optimized structure of Tl2SiRh.

Its energy relative to the elements, uncorrected is 0.5949 eV per atom. The value obtained for the volume is 76 Å³/f.u.

The structure belongs to space group I4/mmm (No. 139); the cell edges are 4.312, 4.312 and 8.168 Å and the angles 90.00°, 90.00° and 90.00°. Symmetry generates all atoms from Tl at (0.000, 0.500, 0.250), Si at (0.000, 0.000, 0.000) and Rh at (0.000, 0.000, 0.500).

***

No. 6
VASP calculation (SCAN) on a PBEsol-optimized structure of TlSi2Rh.

Its energy relative to the elements, uncorrected is 0.1058 eV per atom. The value obtained for the volume is 76 Å³/f.u.

The structure belongs to space group P2/m (No. 10); the cell edges are 4.064, 4.112 and 4.679 Å and the angles 90.00°, 103.43° and 90.00°. Symmetry generates all atoms from Tl at (0.000, 0.000, 0.000), Si at (0.439, 0.500, 0.743) and Rh at (0.500, 0.000, 0.500).